[1]
# MgTi3Zn, optimized geometry, DFT PBE-GGA
data_MgTi3Zn
_chemical_formula_sum 'Mg1 Ti3 Zn1'
_space_group_name_H-M_alt 'P m -3 m'
_space_group_IT_number 221
_space_group_name_Hall '-P 4 2 3'
_cell_length_a 4.747
_cell_length_b 4.747
_cell_length_c 4.747
_cell_angle_alpha 90.00
_cell_angle_beta 90.00
_cell_angle_gamma 90.00
loop_
_atom_site_label
_atom_site_type_symbol
_atom_site_fract_x
_atom_site_fract_y
_atom_site_fract_z
_atom_site_occupancy
Mg1 Mg 0.000 0.000 0.000 1
Ti1 Ti 0.000 0.000 0.500 1
Zn1 Zn 0.500 0.500 0.500 1
# D(E_F), states/eV per atom: 1.1641
# Energy relative to the elements, kJ per mole of atoms: 124
# Crystal system: cubic
# Energy relative to the lowest polymorph listed for this composition, eV per atom: 0.597

[2]
# MgTi5Zn6, optimized geometry, DFT PBE-GGA
data_MgTi5Zn6
_chemical_formula_sum 'Mg2 Ti10 Zn12'
_space_group_name_H-M_alt 'I m m m'
_space_group_IT_number 71
_space_group_name_Hall '-I 2 2'
_cell_length_a 4.400
_cell_length_b 6.477
_cell_length_c 13.295
_cell_angle_alpha 90.00
_cell_angle_beta 90.00
_cell_angle_gamma 90.00
loop_
_atom_site_label
_atom_site_type_symbol
_atom_site_fract_x
_atom_site_fract_y
_atom_site_fract_z
_atom_site_occupancy
Mg1 Mg 0.000 0.000 0.000 1
Ti1 Ti 0.000 0.000 0.334 1
Ti2 Ti 0.000 0.500 0.000 1
Ti3 Ti 0.000 0.500 0.334 1
Zn1 Zn 0.000 0.249 0.168 1
Zn2 Zn 0.000 0.252 0.500 1
# D(E_F), states/eV per atom: 0.8257
# Energy relative to the elements, kJ per mole of atoms: -14
# Crystal system: orthorhombic

[3]
# Mg6TiZn, optimized geometry, DFT PBE-GGA
data_Mg6TiZn
_chemical_formula_sum 'Mg12 Ti2 Zn2'
_space_group_name_H-M_alt 'A m m 2'
_space_group_IT_number 38
_cell_length_a 4.898
_cell_length_b 6.094
_cell_length_c 11.011
_cell_angle_alpha 90.00
_cell_angle_beta 90.00
_cell_angle_gamma 90.00
loop_
_space_group_symop_operation_xyz
'x,y,z'
'-x,-y,z'
'-x,y,z'
'x,-y,z'
'x,y+1/2,z+1/2'
'-x,-y+1/2,z+1/2'
'-x,y+1/2,z+1/2'
'x,-y+1/2,z+1/2'
loop_
_atom_site_label
_atom_site_type_symbol
_atom_site_fract_x
_atom_site_fract_y
_atom_site_fract_z
_atom_site_occupancy
Mg1 Mg 0.000 0.000 0.000 1
Mg2 Mg 0.000 0.000 0.493 1
Mg3 Mg 0.000 0.246 0.756 1
Mg4 Mg 0.500 0.249 0.093 1
Ti1 Ti 0.500 0.000 0.845 1
Zn1 Zn 0.500 0.000 0.335 1
# D(E_F), states/eV per atom: 0.6257
# Energy relative to the elements, kJ per mole of atoms: 7
# Crystal system: orthorhombic
# Energy relative to the lowest polymorph listed for this composition, eV per atom: 0.009

[4]
# Mg2TiZn, optimized geometry, DFT PBE-GGA
data_Mg2TiZn
_chemical_formula_sum 'Mg6 Ti3 Zn3'
_space_group_name_H-M_alt 'R -3 m'
_space_group_IT_number 166
_space_group_name_Hall '-R 3 2"'
_cell_length_a 2.9150
_cell_length_b 2.9150
_cell_length_c 31.3909
_cell_angle_alpha 90.00
_cell_angle_beta 90.00
_cell_angle_gamma 120.00
loop_
_atom_site_label
_atom_site_type_symbol
_atom_site_fract_x
_atom_site_fract_y
_atom_site_fract_z
_atom_site_occupancy
Mg1 Mg 0.0000 0.0000 0.0913 1
Ti1 Ti 0.0000 0.0000 0.0000 1
Zn1 Zn 0.0000 0.0000 0.5000 1
# D(E_F), states/eV per atom: 0.6468
# Energy relative to the elements, kJ per mole of atoms: 26
# Crystal system: trigonal